Mg16Al12Ag: relaxed, PBEsol.

Cell and atoms, written as POSCAR:
```
Mg16Al12Ag
1.0
-0.234 -5.963 -6.722
8.343 0.359 3.325
-5.707 -2.589 6.502
Mg Al Ag
16 12 1
Direct
0.365 0.365 0.338
0.002 0.002 0.003
0.996 0.996 0.654
0.309 0.309 0.707
0.675 0.408 0.007
0.596 0.284 0.599
0.001 0.684 0.399
0.999 0.649 0.003
0.707 0.320 0.313
0.398 0.997 0.681
0.997 0.398 0.681
0.320 0.707 0.313
0.649 0.999 0.003
0.684 0.001 0.399
0.284 0.596 0.599
0.408 0.675 0.007
0.814 0.814 0.184
0.633 0.633 0.821
0.360 0.177 0.991
0.816 0.630 0.633
0.186 0.999 0.364
0.366 0.995 0.181
0.180 0.807 0.812
0.807 0.180 0.812
0.995 0.366 0.181
0.999 0.186 0.364
0.630 0.816 0.633
0.177 0.360 0.991
0.646 0.646 0.326
```

Results
- N(E_F) (states/eV/f.u.) = 10.51
- space group = Cm (8)
- calculated density (g/cm³) = 2.409
- ΔH_f (0 K) (eV per atom) = -0.03

---

Mg2Al2Ag: relaxed, PBEsol.

Cell and atoms, written as POSCAR:
```
Mg2Al2Ag
1.0
3.985 0.000 0.000
0.000 3.985 0.000
-1.992 -1.992 6.481
Mg Al Ag
2 2 1
Direct
0.250 0.750 0.500
0.750 0.250 0.500
0.405 0.405 0.811
0.595 0.595 0.189
0.000 0.000 0.000
```

Results
- excess energy over the best structure of this formula in the dataset (meV per atom) = 335
- N(E_F) (states/eV/f.u.) = 1.74
- space group = I4/mmm (139)
- calculated density (g/cm³) = 3.396
- ΔH_f (0 K) (eV per atom) = 0.33